# 1
{"formula": "Pm12Si6Bi", "functional": "PBE", "state": "optimized geometry", "n_ef_per_ev_fu": 15.34, "e_form_raw_kj_per_mol_atoms": -54.8, "lattice": [[8.848, 0.000, 0.000], [-2.949, 8.342, 0.000], [-2.949, -4.171, 7.225]], "species": ["Si", "Si", "Si", "Si", "Si", "Si", "Pm", "Pm", "Pm", "Pm", "Pm", "Pm", "Pm", "Pm", "Pm", "Pm", "Pm", "Pm", "Bi"], "fractional_positions": [[0.500, 0.886, 0.386], [0.886, 0.386, 0.500], [0.114, 0.614, 0.500], [0.500, 0.114, 0.614], [0.386, 0.500, 0.886], [0.614, 0.500, 0.114], [0.702, 0.892, 0.190], [0.810, 0.298, 0.108], [0.892, 0.190, 0.702], [0.190, 0.298, 0.487], [0.513, 0.810, 0.702], [0.810, 0.702, 0.513], [0.487, 0.190, 0.298], [0.298, 0.487, 0.190], [0.298, 0.108, 0.810], [0.108, 0.810, 0.298], [0.702, 0.513, 0.810], [0.190, 0.702, 0.892], [0.000, 0.000, 0.000]]}

***

# 2
{"formula": "La2Nd4SmMg", "functional": "PBE", "state": "optimized geometry", "n_ef_per_ev_fu": 14.31, "ef_ev_per_fu": 0.62, "lattice": [[-3.647, 1.411, -4.460], [-4.666, -1.347, 3.389], [-4.940, 5.934, 5.916]], "species": ["La", "La", "Nd", "Nd", "Nd", "Nd", "Mg", "Sm"], "fractional_positions": [[0.000, 0.000, 0.000], [0.500, 0.000, 0.500], [0.500, 0.732, 0.268], [0.000, 0.768, 0.731], [0.500, 0.268, 0.732], [0.000, 0.232, 0.269], [0.000, 0.500, 0.500], [0.500, 0.500, 0.000]]}